1.
A relaxed structure of Ba2AlIr3O12, computed with PBE.

Results
N(E_F) in states/eV/f.u.: 9.90
Formation energy without anion corrections in eV per atom: -1.456
DFT total energy in eV/atom: -6.66
Symmetry: R-3m (166)

Geometry as POSCAR:
```
Ba2AlIr3O12
1.0
7.0202 -0.0702 -0.0498
3.4059 6.1390 -0.0498
3.4059 1.9825 5.8103
Ir O Al Ba
3 12 1 2
Direct
0.0000 0.5000 0.0000 Ir
0.5000 0.0000 0.0000 Ir
0.0000 0.0000 0.5000 Ir
0.6663 0.6663 0.0644 O
0.0667 0.6888 0.0667 O
0.9356 0.3337 0.3337 O
0.9333 0.9333 0.3112 O
0.6888 0.0667 0.0667 O
0.6663 0.0644 0.6663 O
0.3337 0.9356 0.3337 O
0.0644 0.6663 0.6663 O
0.3112 0.9333 0.9333 O
0.9333 0.3112 0.9333 O
0.3337 0.3337 0.9356 O
0.0667 0.0667 0.6888 O
0.0000 0.0000 0.0000 Al
0.6524 0.6524 0.6524 Ba
0.3476 0.3476 0.3476 Ba
```

---

2.
A relaxed structure of Ba3Mg3Ag8, computed with PBE.

Results
N(E_F) in states/eV/f.u.: 6.73
Energy of formation in meV per atom: -214
DFT total energy in eV/atom: -2.60
Symmetry: Immm (71)

Geometry as POSCAR:
```
Ba3Mg3Ag8
1.0
4.9306 0.0000 0.0000
2.4653 8.8694 0.3553
2.4653 2.7566 8.4376
Ba Ag Mg
3 8 3
Direct
0.2074 0.7926 0.7926 Ba
0.7926 0.2074 0.2074 Ba
0.5000 0.5000 0.5000 Ba
0.6268 0.0860 0.6604 Ag
0.6268 0.6604 0.0860 Ag
0.1641 0.4829 0.1889 Ag
0.3732 0.9140 0.3396 Ag
0.8359 0.8111 0.5171 Ag
0.8359 0.5171 0.8111 Ag
0.3732 0.3396 0.9140 Ag
0.1641 0.1889 0.4829 Ag
0.5000 0.0000 0.0000 Mg
0.0000 0.7941 0.2059 Mg
0.0000 0.2059 0.7941 Mg
```